## A
This record from Alexandria via LeMat-Bulk describes crystalline HfFe2NiH at its relaxed geometry. The functional is PBE.

The structure belongs to space group P4/mmm (No. 123); the cell edges are 3.661, 3.661 and 4.132 Å and the angles 90.00°, 90.00° and 90.00°. Symmetry generates all atoms from Hf at (0.000, 0.000, 0.000), Fe at (0.000, 0.500, 0.500), Ni at (0.500, 0.500, 0.000) and H at (0.000, 0.000, 0.500).



## B
This record from Alexandria via LeMat-Bulk describes crystalline HfFe2NiH at its relaxed geometry. The functional is PBE.

The structure belongs to space group P4/mmm (No. 123); the cell edges are 3.762, 3.762 and 3.834 Å and the angles 90.00°, 90.00° and 90.00°. Symmetry generates all atoms from Hf at (0.000, 0.000, 0.000), Fe at (0.000, 0.500, 0.500), Ni at (0.500, 0.500, 0.000) and H at (0.500, 0.500, 0.500).



Quick one: most stable of them? B



## A
This record from Alexandria via LeMat-Bulk describes crystalline HfFe2HPd at its relaxed geometry. The functional is PBE.

The structure belongs to space group P4/mmm (No. 123); the cell edges are 3.796, 3.796 and 4.155 Å and the angles 90.00°, 90.00° and 90.00°. Symmetry generates all atoms from Hf at (0.000, 0.000, 0.000), Fe at (0.000, 0.500, 0.500), H at (0.000, 0.000, 0.500) and Pd at (0.500, 0.500, 0.000).



## B
This record from Alexandria via LeMat-Bulk describes crystalline HfFe2HPd at its relaxed geometry. The functional is PBE.

The structure belongs to space group P4/mmm (No. 123); the cell edges are 3.860, 3.860 and 3.980 Å and the angles 90.00°, 90.00° and 90.00°. Symmetry generates all atoms from Hf at (0.000, 0.000, 0.000), Fe at (0.000, 0.500, 0.500), H at (0.500, 0.500, 0.500) and Pd at (0.500, 0.500, 0.000).



Quick one: most stable of them? A



## A
This record from Alexandria via LeMat-Bulk describes crystalline HfFe2HPt at its relaxed geometry. The functional is PBE.

The structure belongs to space group P4/mmm (No. 123); the cell edges are 3.821, 3.821 and 4.099 Å and the angles 90.00°, 90.00° and 90.00°. Symmetry generates all atoms from Hf at (0.000, 0.000, 0.000), Fe at (0.000, 0.500, 0.500), H at (0.000, 0.000, 0.500) and Pt at (0.500, 0.500, 0.000).



## B
This record from Alexandria via LeMat-Bulk describes crystalline HfFe2HPt at its relaxed geometry. The functional is PBE.

The structure belongs to space group P4/mmm (No. 123); the cell edges are 3.885, 3.885 and 3.841 Å and the angles 90.00°, 90.00° and 90.00°. Symmetry generates all atoms from Hf at (0.000, 0.000, 0.000), Fe at (0.000, 0.500, 0.500), H at (0.500, 0.500, 0.500) and Pt at (0.500, 0.500, 0.000).



Quick one: most stable of them? A